Record 1
Computed, not measured: CsPr3S4 after structural relaxation at the PBE level of DFT.

POSCAR file:
```
CsPr3S4
1.0
4.190 0.000 0.000
-2.095 3.629 0.000
0.000 0.000 29.500
Cs Pr S
2 6 8
Cartesian
2.095 1.210 22.125 Cs
0.000 2.419 7.375 Cs
0.000 0.000 0.000 Pr
0.000 0.000 14.750 Pr
0.000 2.419 26.196 Pr
2.095 1.210 3.304 Pr
2.095 1.210 11.446 Pr
0.000 2.419 18.054 Pr
2.095 1.210 27.839 S
0.000 2.419 1.661 S
0.000 2.419 13.089 S
2.095 1.210 16.411 S
0.000 0.000 24.654 S
0.000 0.000 4.846 S
0.000 0.000 9.904 S
0.000 0.000 19.596 S
```

Crystal system   hexagonal
Space-group type   P6_3/mmc (194)
Formation energy (no corrections)   -15.21 eV/f.u.

Record 2
Computed, not measured: CsPrS4 after structural relaxation at the PBE level of DFT.

POSCAR file:
```
CsPrS4
1.0
-3.137 1.919 -4.937
2.086 -4.827 -3.201
-6.947 -4.715 2.582
Cs Pr S
2 2 8
Cartesian
-3.999 -3.812 -2.778 Cs
-3.474 -2.357 1.291 Cs
-0.526 -1.454 -4.069 Pr
0.000 0.000 0.000 Pr
-1.459 -3.961 -5.381 S
-0.427 -3.678 -2.088 S
-3.310 -1.054 -5.052 S
-7.301 -3.197 -1.372 S
-4.960 -7.319 -2.600 S
-2.278 -0.770 -1.759 S
-7.065 -5.117 -4.244 S
-5.195 -5.399 0.272 S
```

Crystal system   tetragonal
Space-group type   P4/nbm (125)
Formation energy (no corrections)   -7.26 eV/f.u.

Record 3
Computed, not measured: CsPr4S6 after structural relaxation at the PBE level of DFT.

POSCAR file:
```
CsPr4S6
1.0
7.526 0.092 0.136
-3.398 6.716 -0.136
-3.398 -2.595 6.195
Cs Pr S
1 4 6
Cartesian
0.000 0.000 0.000 Cs
-2.665 -0.188 3.603 Pr
1.796 1.762 2.592 Pr
-2.665 3.420 1.150 Pr
-2.531 3.338 4.909 Pr
-4.620 4.180 3.183 S
-4.620 1.423 5.057 S
4.128 0.774 1.138 S
2.064 -1.251 3.165 S
-0.953 1.956 2.877 S
2.064 3.404 0.000 S
```

Offset from the most stable computed form   279 meV/atom
Crystal system   tetragonal
Space-group type   I-42m (121)
Formation energy (no corrections)   -17.87 eV/f.u.

Record 4
Computed, not measured: Cs2PrS10 after structural relaxation at the PBE level of DFT.

POSCAR file:
```
Cs2PrS10
1.0
5.139 0.000 0.000
0.000 6.688 0.000
0.000 0.000 25.770
Cs Pr S
4 2 20
Cartesian
2.570 3.151 22.314 Cs
2.570 3.536 3.456 Cs
2.570 6.495 16.341 Cs
2.570 0.193 9.429 Cs
0.000 3.344 12.885 Pr
0.000 0.000 0.000 Pr
0.000 0.609 12.063 S
0.000 6.079 13.707 S
0.000 3.953 0.822 S
0.000 2.735 24.948 S
0.000 1.762 18.427 S
0.000 4.926 7.343 S
1.548 0.197 2.424 S
1.548 6.491 23.346 S
3.591 3.541 10.461 S
3.591 3.147 15.309 S
3.591 6.491 23.346 S
3.591 0.197 2.424 S
1.548 3.147 15.309 S
1.548 3.541 10.461 S
0.000 5.590 5.527 S
0.000 1.097 20.243 S
0.000 2.247 7.358 S
0.000 4.441 18.412 S
0.000 1.582 5.542 S
0.000 5.106 20.228 S
```

Crystal system   orthorhombic
Space-group type   Pbam (55)
Formation energy (no corrections)   -6.56 eV/f.u.

Record 5
Computed, not measured: CsPr4S6 after structural relaxation at the PBE level of DFT.

POSCAR file:
```
CsPr4S6
1.0
-2.220 0.856 -3.413
-1.350 -6.934 1.676
-17.024 6.377 12.669
Cs Pr S
2 8 12
Cartesian
-6.094 0.096 1.451 Cs
-14.500 0.203 9.480 Cs
-12.137 -0.934 5.123 Pr
-4.215 -4.308 1.661 Pr
-8.457 1.233 5.809 Pr
-16.378 4.607 9.270 Pr
-19.257 1.733 10.421 Pr
-1.337 -1.434 0.510 Pr
-12.397 3.116 6.307 Pr
-8.196 -2.817 4.624 Pr
-1.110 0.428 -1.707 S
-9.622 3.616 4.628 S
-6.147 1.867 4.465 S
-14.447 -1.568 6.466 S
-17.940 -0.259 9.066 S
-2.654 0.558 1.865 S
-9.623 -0.396 3.623 S
-10.971 0.695 7.308 S
-16.827 2.888 11.666 S
-3.767 -2.589 -0.735 S
-5.945 -2.873 3.146 S
-14.649 3.172 7.785 S
```

Offset from the most stable computed form   0 meV/atom
Crystal system   orthorhombic
Space-group type   Cmcm (63)
Formation energy (no corrections)   -20.94 eV/f.u.

Record 6
Computed, not measured: Cs4Pr3SbS8 after structural relaxation at the PBE level of DFT.

POSCAR file:
```
Cs4Pr3SbS8
1.0
8.511 0.000 0.000
0.000 9.432 0.641
-4.255 -4.250 6.022
Cs Pr Sb S
4 3 1 8
Cartesian
4.255 0.000 0.000 Cs
2.128 -2.125 3.011 Cs
0.000 0.000 0.000 Cs
-2.128 -2.125 3.011 Cs
4.255 4.716 0.321 Pr
2.128 2.591 3.332 Pr
-2.128 2.591 3.332 Pr
0.000 4.716 0.321 Sb
-2.170 2.385 6.224 S
0.000 4.553 3.153 S
0.000 0.637 3.457 S
2.170 2.385 6.224 S
2.085 2.796 0.439 S
4.255 4.544 3.207 S
4.255 0.629 3.511 S
6.426 2.796 0.439 S
```

Crystal system   trigonal
Space-group type   R-3m (166)
Formation energy (no corrections)   -24.20 eV/f.u.

Copy entry 2 word for word.
Computed, not measured: CsPrS4 after structural relaxation at the PBE level of DFT.

POSCAR file:
```
CsPrS4
1.0
-3.137 1.919 -4.937
2.086 -4.827 -3.201
-6.947 -4.715 2.582
Cs Pr S
2 2 8
Cartesian
-3.999 -3.812 -2.778 Cs
-3.474 -2.357 1.291 Cs
-0.526 -1.454 -4.069 Pr
0.000 0.000 0.000 Pr
-1.459 -3.961 -5.381 S
-0.427 -3.678 -2.088 S
-3.310 -1.054 -5.052 S
-7.301 -3.197 -1.372 S
-4.960 -7.319 -2.600 S
-2.278 -0.770 -1.759 S
-7.065 -5.117 -4.244 S
-5.195 -5.399 0.272 S
```

Crystal system   tetragonal
Space-group type   P4/nbm (125)
Formation energy (no corrections)   -7.26 eV/f.u.